Material: ZnRe3
Method: DFT, PBE-GGA
State: optimized geometry

Values from the calculation:
D(E_F): 0.86 states/eV per atom
formation energy: 0.202 eV per atom
magnetization: 0.00 μB per cell

a = 3.962 Å, b = 5.365 Å, c = 2.767 Å
α = 90.00°, β = 90.00°, γ = 90.00°
Fractional positions:
Re: 0.000 0.006 0.000
Re: 0.000 0.494 0.000
Re: 0.500 0.750 0.500
Zn: 0.500 0.250 0.500